Material: Rb2BiPb6
Method: DFT, PBE
State: optimized geometry

Cell and atoms, written as extended XYZ:
```
9
Lattice="6.883 0.000 0.000 -3.441 5.961 0.000 0.000 0.000 8.188" Properties=species:S:1:pos:R:3 pbc="T T T"
Rb 0.000 3.974 0.869
Rb 3.441 1.987 7.319
Bi 0.000 0.000 0.000
Pb 0.000 1.995 5.398
Pb -1.714 4.963 5.398
Pb 1.728 0.997 2.790
Pb 1.714 4.963 5.398
Pb 5.155 0.997 2.790
Pb 3.441 3.966 2.790
```

Computed properties:
Total magnetic moment, μB per formula unit: 0.0
Theoretical density, g/cm3: 8.024
Uncorrected energy, eV for the cell shown: -29.21
Crystal system: trigonal

---

Material: Rb3Bi4Pb2
Method: DFT, PBE
State: optimized geometry

Cell and atoms, written as extended XYZ:
```
18
Lattice="8.952 -6.733 0.000 8.952 6.733 0.000 -0.561 0.000 6.509" Properties=species:S:1:pos:R:3 pbc="T T T"
Rb 8.531 5.455 4.882
Rb 6.132 1.424 5.963
Rb 6.412 -1.424 2.709
Rb 10.931 1.424 3.801
Rb 11.211 -1.424 0.546
Rb 8.812 -5.455 1.627
Bi 2.345 1.416 5.586
Bi 6.729 2.905 2.732
Bi 2.626 -1.416 2.332
Bi 10.895 2.905 0.522
Bi 6.448 -2.905 5.987
Bi 14.717 1.416 4.178
Bi 10.614 -2.905 3.777
Bi 14.998 -1.416 0.923
Pb 3.709 1.794 2.414
Pb 3.429 -1.794 5.669
Pb 13.914 1.794 0.840
Pb 13.633 -1.794 4.095
```

Computed properties:
Total magnetic moment, μB per formula unit: 0.0
Theoretical density, g/cm3: 6.377
Crystal system: monoclinic
E above lowest polymorph, meV per atom: 83.3

---

Material: Rb2BiPb7
Method: DFT, PBE
State: optimized geometry

Cell and atoms, written as extended XYZ:
```
10
Lattice="5.338 0.000 0.000 0.000 5.338 0.000 0.000 0.000 13.747" Properties=species:S:1:pos:R:3 pbc="T T T"
Rb 0.000 2.669 3.444
Rb 2.669 0.000 10.304
Bi 0.000 0.000 6.874
Pb 0.000 0.000 0.000
Pb 0.000 2.669 8.716
Pb 0.000 2.669 11.909
Pb 2.669 0.000 1.838
Pb 2.669 0.000 5.031
Pb 2.669 2.669 0.000
Pb 2.669 2.669 6.874
```

Computed properties:
Total magnetic moment, μB per formula unit: 0.0
Theoretical density, g/cm3: 7.758
Uncorrected energy, eV for the cell shown: -32.77
Crystal system: tetragonal

---

Material: Rb3BiPb
Method: DFT, PBE
State: optimized geometry

Cell and atoms, written as extended XYZ:
```
5
Lattice="7.105 0.000 0.000 0.000 7.105 0.000 0.000 0.000 7.105" Properties=species:S:1:pos:R:3 pbc="T T T"
Rb 0.000 0.000 3.553
Rb 0.000 3.553 0.000
Rb 3.553 0.000 0.000
Bi 0.000 0.000 0.000
Pb 3.553 3.553 3.553
```

Computed properties:
Total magnetic moment, μB per formula unit: 2.0
Theoretical density, g/cm3: 3.114
Crystal system: cubic
E above lowest polymorph, meV per atom: 344.8

---

Material: Rb3Bi3Pb2
Method: DFT, PBE
State: optimized geometry

Cell and atoms, written as extended XYZ:
```
16
Lattice="3.078 -6.196 0.000 3.078 6.196 0.000 0.000 0.000 17.040" Properties=species:S:1:pos:R:3 pbc="T T T"
Rb 3.078 5.963 12.780
Rb 3.078 4.348 0.482
Rb 3.078 4.348 8.039
Rb 3.078 -4.348 9.002
Rb 3.078 -4.348 16.559
Rb 3.078 -5.963 4.260
Bi 3.078 2.610 4.260
Bi 3.078 0.575 1.778
Bi 3.078 0.575 6.743
Bi 3.078 -0.575 10.298
Bi 3.078 -0.575 15.263
Bi 3.078 -2.610 12.780
Pb 3.078 2.333 11.280
Pb 3.078 2.333 14.280
Pb 3.078 -2.333 2.760
Pb 3.078 -2.333 5.760
```

Computed properties:
Total magnetic moment, μB per formula unit: 0.0
Theoretical density, g/cm3: 6.630
Crystal system: orthorhombic
E above lowest polymorph, meV per atom: 74.6

---

Material: Rb2Bi2Pb3
Method: DFT, PBE
State: optimized geometry

Cell and atoms, written as extended XYZ:
```
14
Lattice="13.432 0.000 0.000 0.000 5.261 0.000 -3.463 0.000 7.831" Properties=species:S:1:pos:R:3 pbc="T T T"
Rb 1.001 0.000 2.233
Rb 2.252 2.631 5.598
Rb 7.716 2.631 2.233
Rb 8.968 0.000 5.598
Bi -0.575 0.000 5.865
Bi 3.828 2.631 1.967
Bi 6.140 2.631 5.865
Bi 10.544 0.000 1.967
Pb -1.732 2.631 3.916
Pb -1.794 2.631 7.269
Pb 5.047 0.000 0.562
Pb 4.984 0.000 3.916
Pb 4.922 0.000 7.269
Pb 11.763 2.631 0.562
```

Computed properties:
Total magnetic moment, μB per formula unit: 0.0
Theoretical density, g/cm3: 7.265
Uncorrected energy, eV for the cell shown: -44.09
Crystal system: monoclinic

---

Material: RbBiPb4
Method: DFT, PBE
State: optimized geometry

Cell and atoms, written as extended XYZ:
```
6
Lattice="0.000 4.717 4.717 4.717 0.000 4.717 4.717 4.717 0.000" Properties=species:S:1:pos:R:3 pbc="T T T"
Rb 0.000 0.000 0.000
Bi 7.075 7.075 7.075
Pb 3.542 3.542 3.542
Pb 5.892 5.892 3.542
Pb 5.892 3.542 5.892
Pb 3.542 5.892 5.892
```

Computed properties:
Total magnetic moment, μB per formula unit: 0.0
Theoretical density, g/cm3: 8.887
Crystal system: cubic
E above lowest polymorph, meV per atom: 32.3

---

Material: Rb3Bi2Pb2
Method: DFT, PBE
State: optimized geometry

Cell and atoms, written as extended XYZ:
```
28
Lattice="7.168 0.000 0.000 0.000 10.825 0.000 0.000 0.000 16.445" Properties=species:S:1:pos:R:3 pbc="T T T"
Rb 0.827 1.487 1.786
Rb 0.827 1.487 6.436
Rb 0.827 3.925 10.009
Rb 0.827 3.925 14.659
Rb 2.445 7.906 12.334
Rb 2.445 8.332 4.111
Rb 4.723 2.493 12.334
Rb 4.723 2.919 4.111
Rb 6.341 6.900 1.786
Rb 6.341 6.900 6.436
Rb 6.341 9.338 10.009
Rb 6.341 9.338 14.659
Bi 1.251 0.796 12.334
Bi 1.251 4.616 4.111
Bi 2.728 8.119 0.000
Bi 2.728 8.119 8.223
Bi 4.440 2.706 0.000
Bi 4.440 2.706 8.223
Bi 5.917 6.209 12.334
Bi 5.917 10.029 4.111
Pb 2.721 0.346 9.609
Pb 2.721 0.346 15.058
Pb 2.721 5.067 1.387
Pb 2.721 5.067 6.836
Pb 4.447 5.758 9.609
Pb 4.447 5.758 15.058
Pb 4.447 10.480 1.387
Pb 4.447 10.480 6.836
```

Computed properties:
Total magnetic moment, μB per formula unit: 0.0
Theoretical density, g/cm3: 5.667
Uncorrected energy, eV for the cell shown: -78.34
Crystal system: orthorhombic

---

Material: RbBi2Pb2
Method: DFT, PBE
State: optimized geometry

Cell and atoms, written as extended XYZ:
```
10
Lattice="9.831 0.000 0.000 0.000 9.831 0.000 0.000 0.000 3.800" Properties=species:S:1:pos:R:3 pbc="T T T"
Rb 0.000 0.000 0.000
Rb 4.915 4.915 0.000
Bi 1.576 3.339 1.900
Bi 3.339 8.254 1.900
Bi 6.492 1.576 1.900
Bi 8.254 6.492 1.900
Pb 1.209 6.124 0.000
Pb 3.706 1.209 0.000
Pb 6.124 8.622 0.000
Pb 8.622 3.706 0.000
```

Computed properties:
Total magnetic moment, μB per formula unit: 0.0
Theoretical density, g/cm3: 8.300
Crystal system: tetragonal
E above lowest polymorph, meV per atom: 63.8

---

Material: Rb2BiPb2
Method: DFT, PBE
State: optimized geometry

Cell and atoms, written as extended XYZ:
```
10
Lattice="10.622 0.000 0.000 0.000 10.622 0.000 0.000 0.000 3.590" Properties=species:S:1:pos:R:3 pbc="T T T"
Rb 2.103 3.208 0.000
Rb 3.208 8.519 0.000
Rb 7.414 2.103 0.000
Rb 8.519 7.414 0.000
Bi 0.000 0.000 1.795
Bi 5.311 5.311 1.795
Pb 1.067 6.378 1.795
Pb 4.244 1.067 1.795
Pb 6.378 9.555 1.795
Pb 9.555 4.244 1.795
```

Computed properties:
Total magnetic moment, μB per formula unit: 0.0
Theoretical density, g/cm3: 6.514
Crystal system: tetragonal
E above lowest polymorph, meV per atom: 255.0

---

Material: RbBi2Pb10
Method: DFT, PBE
State: optimized geometry

Cell and atoms, written as extended XYZ:
```
13
Lattice="0.000 8.040 8.353 3.360 0.000 8.353 3.360 8.040 0.000" Properties=species:S:1:pos:R:3 pbc="T T T"
Rb 0.000 0.000 0.000
Bi 1.680 4.020 0.000
Bi 1.680 4.020 8.353
Pb 1.680 0.000 4.176
Pb 3.360 2.885 5.399
Pb 3.360 6.258 6.495
Pb 3.360 2.885 11.307
Pb 1.680 8.040 4.176
Pb 3.360 9.823 6.495
Pb 3.360 6.258 10.210
Pb 3.360 13.196 5.399
Pb 3.360 9.823 10.210
Pb 3.360 13.196 11.307
```

Computed properties:
Total magnetic moment, μB per formula unit: 0.0
Theoretical density, g/cm3: 9.476
Uncorrected energy, eV for the cell shown: -46.11
Crystal system: orthorhombic

---

Material: RbBi4Pb6
Method: DFT, PBE
State: optimized geometry

Cell and atoms, written as extended XYZ:
```
11
Lattice="9.648 0.000 0.000 -4.824 8.356 0.000 0.000 0.000 4.990" Properties=species:S:1:pos:R:3 pbc="T T T"
Rb 0.000 0.000 0.000
Bi 0.000 5.571 0.000
Bi 2.705 1.562 2.495
Bi 6.944 1.562 2.495
Bi 4.824 5.233 2.495
Pb 0.000 3.281 2.495
Pb -1.982 6.715 2.495
Pb 4.824 0.725 0.000
Pb 3.040 3.815 0.000
Pb 1.982 6.715 2.495
Pb 6.608 3.815 0.000
```

Computed properties:
Total magnetic moment, μB per formula unit: 0.0
Theoretical density, g/cm3: 8.934
Uncorrected energy, eV for the cell shown: -39.22
Crystal system: hexagonal